Entry 1:
Material: BaV2Te
Method: DFT, GGA-PBE
State: optimized geometry

extended XYZ file:
```
8
Lattice="-2.440 2.440 9.794 2.440 -2.440 9.794 2.440 2.440 -9.794" Properties=species:S:1:pos:R:3 pbc="T T T"
Ba 2.440 1.220 2.448
Ba 0.000 1.220 7.345
V 0.000 0.000 0.000
V 1.220 1.220 -4.897
V 1.220 -1.220 4.897
V 0.000 2.440 0.000
Te 2.440 -1.220 7.345
Te 0.000 3.659 2.448
```

Results
**E_form (uncorrected)**: 1.6 eV/f.u.
**DFT total energy**: -5.43 eV/atom

Entry 2:
Material: Sc2PRu2
Method: DFT, GGA-PBE
State: optimized geometry

extended XYZ file:
```
10
Lattice="6.163 0.000 0.000 0.000 6.163 0.000 0.000 0.000 4.389" Properties=species:S:1:pos:R:3 pbc="T T T"
Sc 1.062 2.020 0.000
Sc 2.020 5.102 0.000
Sc 4.143 1.062 0.000
Sc 5.102 4.143 0.000
P 0.000 0.000 2.194
P 3.082 3.082 2.194
Ru 0.927 4.008 2.194
Ru 2.155 0.927 2.194
Ru 4.008 5.237 2.194
Ru 5.237 2.155 2.194
```

Results
**Offset from the most stable computed form**: 0 meV/atom
**DFT total energy**: -7.97 eV/atom
**Energy of formation**: -642 meV per atom

Entry 3:
Material: Pm5Tm4In
Method: DFT, GGA-PBE
State: optimized geometry

extended XYZ file:
```
10
Lattice="-5.299 5.299 2.946 5.299 -5.299 2.946 5.299 5.299 -2.946" Properties=species:S:1:pos:R:3 pbc="T T T"
Pm 0.000 0.000 0.000
Pm 3.311 3.311 -1.291
Pm 1.988 -1.988 1.655
Pm -1.988 1.988 1.655
Pm 1.988 1.988 1.655
Tm 5.299 -1.909 1.705
Tm 5.299 1.909 1.705
Tm -1.909 5.299 1.705
Tm 1.909 5.299 1.705
In 0.000 0.000 3.062
```

Results
**Offset from the most stable computed form**: 172 meV/atom
**DFT total energy**: -4.28 eV/atom
**Energy of formation**: 159 meV per atom

Entry 4:
Material: MgCuNF2
Method: DFT, GGA-PBE
State: optimized geometry

extended XYZ file:
```
5
Lattice="3.952 0.000 0.000 0.000 3.952 0.000 0.000 0.000 3.813" Properties=species:S:1:pos:R:3 pbc="T T T"
Mg 0.000 0.000 0.000
Cu 1.976 1.976 1.907
N 1.976 1.976 0.000
F 0.000 1.976 1.907
F 1.976 0.000 1.907
```

Results
**E_form (uncorrected)**: -3.4 eV/f.u.
**Offset from the most stable computed form**: 145 meV/atom
**DFT total energy**: -4.24 eV/atom

Entry 5:
Material: DyHoErZn
Method: DFT, GGA-PBE
State: optimized geometry

extended XYZ file:
```
4
Lattice="0.000 3.747 3.747 3.747 0.000 3.747 3.747 3.747 0.000" Properties=species:S:1:pos:R:3 pbc="T T T"
Dy 0.000 0.000 0.000
Ho 3.747 3.747 3.747
Er 1.874 1.874 1.874
Zn 5.621 5.621 5.621
```

Results
**Offset from the most stable computed form**: 207 meV/atom
**DFT total energy**: -3.71 eV/atom
**Energy of formation**: 45 meV per atom

Entry 6:
Material: MnMo2HPt
Method: DFT, GGA-PBE
State: optimized geometry

extended XYZ file:
```
5
Lattice="3.921 0.000 0.000 0.000 3.921 0.000 0.000 0.000 3.940" Properties=species:S:1:pos:R:3 pbc="T T T"
Mn 0.000 0.000 0.000
Mo 0.000 1.961 1.970
Mo 1.961 0.000 1.970
H 0.000 0.000 1.970
Pt 1.961 1.961 0.000
```

Results
**DFT total energy**: -8.14 eV/atom

Entry 7:
Material: Na3Ag5Cl12
Method: DFT, GGA-PBE
State: optimized geometry

extended XYZ file:
```
80
Lattice="-8.139 8.139 8.139 8.139 -8.139 8.139 8.139 8.139 -8.139" Properties=species:S:1:pos:R:3 pbc="T T T"
Na 4.069 2.035 0.000
Na 8.139 4.069 -2.035
Na 2.035 0.000 4.069
Na 10.174 0.000 4.069
Na 0.000 4.069 2.035
Na 4.069 -2.035 8.139
Na 4.069 10.174 0.000
Na 8.139 4.069 6.104
Na -2.035 8.139 4.069
Na 6.104 8.139 4.069
Na 0.000 4.069 10.174
Na 4.069 6.104 8.139
Ag 0.000 0.000 0.000
Ag 4.069 4.069 -4.069
Ag 4.069 -4.069 4.069
Ag 8.139 0.000 0.000
Ag 12.208 2.035 0.000
Ag 8.139 -4.069 6.104
Ag 6.104 8.139 -4.069
Ag 6.104 0.000 4.069
Ag 4.069 6.104 0.000
Ag 8.139 4.069 2.035
Ag -4.069 4.069 4.069
Ag 0.000 8.139 0.000
Ag 0.000 0.000 8.139
Ag 4.069 4.069 4.069
Ag 0.000 4.069 6.104
Ag 4.069 2.035 8.139
Ag 2.035 8.139 4.069
Ag 2.035 0.000 12.208
Ag 0.000 12.208 2.035
Ag -4.069 6.104 8.139
Cl 2.458 -0.298 0.758
Cl 9.750 4.828 -4.367
Cl 10.597 0.298 0.758
Cl 9.750 -3.311 4.367
Cl 7.841 -0.758 2.458
Cl 12.506 -1.611 3.311
Cl 0.758 2.458 -0.298
Cl 11.450 3.772 -1.611
Cl 4.828 4.367 -1.611
Cl 7.380 2.458 0.298
Cl -0.298 0.758 2.458
Cl 4.367 -1.611 4.828
Cl 7.841 7.380 -2.458
Cl 4.367 1.611 3.311
Cl 4.828 -4.367 9.750
Cl 7.380 -2.458 7.841
Cl 3.311 4.367 1.611
Cl 8.897 5.681 0.298
Cl 4.367 9.750 -3.311
Cl 7.841 0.758 5.681
Cl 2.458 7.841 -0.758
Cl 9.750 3.311 3.772
Cl 1.611 3.311 4.367
Cl 2.458 0.298 7.380
Cl 5.681 7.841 0.758
Cl 6.528 4.828 3.772
Cl -1.611 4.828 4.367
Cl 5.681 0.298 8.897
Cl 0.298 7.380 2.458
Cl 3.772 -1.611 11.450
Cl -0.758 2.458 7.841
Cl 4.828 3.772 6.528
Cl 0.758 10.597 0.298
Cl 3.311 12.506 -1.611
Cl 3.772 6.528 4.828
Cl 0.298 0.758 10.597
Cl 3.772 9.750 3.311
Cl 8.437 7.380 5.681
Cl 0.758 5.681 7.841
Cl 3.311 3.772 9.750
Cl -3.311 4.367 9.750
Cl 7.380 5.681 8.437
Cl -4.367 9.750 4.828
Cl 0.298 8.897 5.681
Cl -1.611 11.450 3.772
Cl -2.458 7.841 7.380
Cl -1.611 3.311 12.506
Cl 5.681 8.437 7.380
```

Results
**E_form (uncorrected)**: -14.9 eV/f.u.
**DFT total energy**: -2.76 eV/atom

Entry 8:
Material: RbPu2SiO8
Method: DFT, GGA-PBE
State: optimized geometry

extended XYZ file:
```
12
Lattice="4.443 0.000 0.000 -0.135 4.463 0.000 -0.401 -1.908 9.566" Properties=species:S:1:pos:R:3 pbc="T T T"
Rb 0.000 0.000 0.000
Pu 1.449 0.763 6.439
Pu 2.457 1.791 3.127
Si -0.200 -0.954 4.783
O 0.378 2.539 3.432
O 0.616 2.801 6.134
O 1.073 0.327 4.586
O 1.706 1.101 8.248
O 2.201 1.453 1.317
O 2.834 2.227 4.980
O 3.291 -0.247 3.432
O 3.528 0.015 6.133
```

Results
**E_form (uncorrected)**: -28.2 eV/f.u.
**DFT total energy**: -8.58 eV/atom

Entry 9:
Material: CeMg2Pb4
Method: DFT, GGA-PBE
State: optimized geometry

extended XYZ file:
```
7
Lattice="4.038 -5.236 0.000 4.038 5.236 0.000 0.000 0.000 4.876" Properties=species:S:1:pos:R:3 pbc="T T T"
Ce 0.000 0.000 0.000
Mg 4.038 2.769 2.438
Mg 4.038 -2.769 2.438
Pb 2.019 2.618 0.000
Pb 2.346 0.000 2.438
Pb 2.019 -2.618 0.000
Pb 5.729 0.000 2.438
```

Results
**DFT total energy**: -3.55 eV/atom
**Energy of formation**: -126 meV per atom

Entry 10:
Material: AsRh2Se
Method: DFT, GGA-PBE
State: optimized geometry

extended XYZ file:
```
4
Lattice="2.811 -4.030 0.000 2.811 4.030 0.000 -2.795 0.000 3.021" Properties=species:S:1:pos:R:3 pbc="T T T"
As 0.000 0.000 0.000
Rh 0.008 2.015 1.511
Rh 0.008 -2.015 1.511
Se 2.811 0.000 0.000
```

Results
**E_form (uncorrected)**: 0.2 eV/f.u.
**Offset from the most stable computed form**: 424 meV/atom
**DFT total energy**: -5.66 eV/atom

Entry 11:
Material: Tb2CePm4Tm
Method: DFT, GGA-PBE
State: optimized geometry

extended XYZ file:
```
8
Lattice="6.217 0.000 0.000 0.000 3.595 0.000 -2.073 0.000 11.717" Properties=species:S:1:pos:R:3 pbc="T T T"
Tb 0.000 0.000 0.000
Tb 3.109 1.798 0.000
Ce -1.036 1.798 5.858
Pm -0.015 0.000 8.765
Pm 1.025 1.798 2.958
Pm 3.120 1.798 8.758
Pm 4.160 0.000 2.951
Tm 2.072 0.000 5.858
```

Results
**DFT total energy**: -4.79 eV/atom
**Energy of formation**: 44 meV per atom

Entry 12:
Material: LiCe3Pm4S8
Method: DFT, GGA-PBE
State: optimized geometry

extended XYZ file:
```
16
Lattice="4.014 2.317 6.546 -4.014 2.317 6.546 0.000 -4.635 6.546" Properties=species:S:1:pos:R:3 pbc="T T T"
Li 0.000 0.000 0.000
Ce -2.007 -1.159 6.546
Ce -2.007 1.159 13.093
Ce 0.000 2.317 6.546
Pm -4.014 0.000 9.820
Pm -2.007 1.159 3.273
Pm 2.007 1.159 3.273
Pm 0.000 0.000 9.820
S 0.000 -2.365 8.144
S -2.048 1.182 8.144
S -2.048 -1.182 11.495
S 0.000 0.000 4.913
S 0.000 0.000 14.726
S 2.048 1.182 8.144
S 2.048 -1.182 11.495
S 0.000 2.365 11.495
```

Results
**E_form (uncorrected)**: -31.6 eV/f.u.
**DFT total energy**: -6.46 eV/atom

Entry 13:
Material: PbS2Br
Method: DFT, GGA-PBE
State: optimized geometry

extended XYZ file:
```
4
Lattice="2.143 1.237 7.774 -2.143 1.237 7.774 0.000 -2.475 7.774" Properties=species:S:1:pos:R:3 pbc="T T T"
Pb 0.000 0.000 0.000
S 0.000 0.000 9.225
S 0.000 0.000 14.098
Br 0.000 0.000 11.661
```

Results
**E_form (uncorrected)**: -0.2 eV/f.u.
**Offset from the most stable computed form**: 309 meV/atom
**DFT total energy**: -3.47 eV/atom

Entry 14:
Material: TiAgIO6
Method: DFT, GGA-PBE
State: optimized geometry

extended XYZ file:
```
18
Lattice="5.228 0.000 0.000 -2.614 4.528 0.000 0.000 0.000 10.460" Properties=species:S:1:pos:R:3 pbc="T T T"
Ti 0.000 3.018 2.615
Ti 2.614 1.509 7.845
Ag 0.000 0.000 0.000
Ag 0.000 0.000 5.230
I 0.000 3.018 7.845
I 2.614 1.509 2.615
O -0.952 1.744 6.769
O -1.579 2.831 8.920
O 0.952 1.744 8.920
O -0.627 4.480 6.769
O 1.987 0.047 1.539
O 1.035 1.697 3.691
O 1.579 2.831 6.769
O 0.627 4.480 8.920
O 3.241 0.047 3.691
O 1.662 2.783 1.539
O 4.194 1.697 1.539
O 3.566 2.783 3.691
```

Results
**E_form (uncorrected)**: -10.0 eV/f.u.
**DFT total energy**: -5.78 eV/atom

Entry 15:
Material: CoCu2Mo
Method: DFT, GGA-PBE
State: optimized geometry

extended XYZ file:
```
4
Lattice="1.323 0.764 8.488 -1.323 0.764 8.488 0.000 -1.527 8.488" Properties=species:S:1:pos:R:3 pbc="T T T"
Co 0.000 0.000 0.000
Cu 0.000 0.000 6.438
Cu 0.000 0.000 12.877
Mo 0.000 0.000 19.061
```

Results
**Offset from the most stable computed form**: 40 meV/atom
**DFT total energy**: -6.34 eV/atom
**Energy of formation**: 195 meV per atom

Entry 16:
Material: Pr4YSb5
Method: DFT, GGA-PBE
State: optimized geometry

extended XYZ file:
```
10
Lattice="-2.265 2.265 15.990 2.265 -2.265 15.990 2.265 2.265 -15.990" Properties=species:S:1:pos:R:3 pbc="T T T"
Pr 0.000 0.000 3.175
Pr 0.000 0.000 9.621
Pr 0.000 0.000 22.358
Pr 0.000 0.000 28.804
Y 0.000 0.000 15.990
Sb 0.000 0.000 0.000
Sb 0.000 0.000 6.395
Sb 0.000 0.000 12.860
Sb 0.000 0.000 19.120
Sb 0.000 0.000 25.585
```

Results
**E_form (uncorrected)**: -11.8 eV/f.u.
**DFT total energy**: -5.80 eV/atom

Entry 17:
Material: CuAuSe2O
Method: DFT, GGA-PBE
State: optimized geometry

extended XYZ file:
```
5
Lattice="4.406 0.000 0.000 0.000 4.406 0.000 0.000 0.000 4.577" Properties=species:S:1:pos:R:3 pbc="T T T"
Cu 0.000 0.000 0.000
Au 2.203 2.203 0.000
Se 0.000 2.203 2.289
Se 2.203 0.000 2.289
O 2.203 2.203 2.289
```

Results
**E_form (uncorrected)**: 3.1 eV/f.u.
**DFT total energy**: -3.23 eV/atom

Entry 18:
Material: AlCr2Ru
Method: DFT, GGA-PBE
State: optimized geometry

extended XYZ file:
```
4
Lattice="2.652 0.000 0.000 0.000 4.095 0.000 -1.299 0.000 4.739" Properties=species:S:1:pos:R:3 pbc="T T T"
Al 0.000 0.000 0.000
Cr 0.294 2.048 3.610
Cr 1.059 2.048 1.129
Ru -0.649 0.000 2.370
```

Results
**DFT total energy**: -8.13 eV/atom
**Energy of formation**: -64 meV per atom

Entry 19:
Material: LaCr3Cu
Method: DFT, GGA-PBE
State: optimized geometry

extended XYZ file:
```
5
Lattice="4.519 0.000 0.000 0.000 4.519 0.000 0.000 0.000 4.519" Properties=species:S:1:pos:R:3 pbc="T T T"
La 0.000 0.000 0.000
Cr 0.000 2.260 2.260
Cr 2.260 0.000 2.260
Cr 2.260 2.260 0.000
Cu 2.260 2.260 2.260
```

Results
**Offset from the most stable computed form**: 0 meV/atom
**DFT total energy**: -6.18 eV/atom
**Energy of formation**: 1398 meV per atom

Entry 20:
Material: SrSb2Pd6
Method: DFT, GGA-PBE
State: optimized geometry

extended XYZ file:
```
18
Lattice="0.000 5.955 5.955 5.955 0.000 5.955 5.955 5.955 0.000" Properties=species:S:1:pos:R:3 pbc="T T T"
Sr 1.489 1.489 1.489
Sr 10.422 10.422 10.422
Sb 5.955 2.978 2.978
Sb 2.978 5.955 2.978
Sb 2.978 2.978 5.955
Sb 5.955 5.955 5.955
Pd 4.466 4.466 1.500
Pd 4.466 1.500 4.466
Pd 7.433 4.466 4.466
Pd 7.444 7.444 4.477
Pd 7.444 4.477 7.444
Pd 10.411 7.444 7.444
Pd 1.500 4.466 4.466
Pd 4.466 7.433 4.466
Pd 4.466 4.466 7.433
Pd 4.477 7.444 7.444
Pd 7.444 10.411 7.444
Pd 7.444 7.444 10.411
```

Results
**E_form (uncorrected)**: -1.1 eV/f.u.
**Offset from the most stable computed form**: 278 meV/atom
**DFT total energy**: -4.69 eV/atom

Entry 21:
Material: Ba2YTl
Method: DFT, GGA-PBE
State: optimized geometry

extended XYZ file:
```
8
Lattice="-4.957 4.957 3.492 4.957 -4.957 3.492 4.957 4.957 -3.492" Properties=species:S:1:pos:R:3 pbc="T T T"
Ba 7.435 2.119 -0.873
Ba 2.119 2.478 0.873
Ba -2.478 2.838 2.619
Ba 2.838 2.478 4.365
Y 4.957 0.000 1.746
Y 0.000 0.000 3.492
Tl 0.000 0.000 0.000
Tl 0.000 4.957 1.746
```

Results
**Offset from the most stable computed form**: 301 meV/atom
**DFT total energy**: -2.99 eV/atom
**Energy of formation**: 184 meV per atom